PrTmSn: optimized geometry, GGA-PBE.

extended XYZ file:
```
6
Lattice="4.394 0.000 0.000 0.000 4.885 0.000 -2.176 0.000 8.175" Properties=species:S:1:pos:R:3 pbc="T T T"
Pr 0.012 1.221 1.213
Pr 2.207 3.663 6.963
Tm 0.010 3.663 4.145
Tm 2.208 1.221 4.030
Sn 0.013 1.221 6.367
Sn 2.206 3.663 1.809
```

## Properties
* space group: No. 11
* distance to the lowest polymorph of the same formula: 5.8 kJ/mol of atoms

=====

Pr3Tm2Sn3: optimized geometry, GGA-PBE.

extended XYZ file:
```
8
Lattice="-2.195 2.497 10.780 2.195 -2.497 10.780 2.195 2.497 -10.780" Properties=species:S:1:pos:R:3 pbc="T T T"
Pr 0.000 0.000 0.000
Pr 2.195 0.000 8.195
Pr 0.000 2.497 2.585
Tm 0.000 0.000 5.332
Tm 0.000 0.000 16.229
Sn 2.195 0.000 3.050
Sn 0.000 0.000 10.780
Sn 0.000 2.497 7.730
```

## Properties
* space group: No. 71

=====

Pr3Tm12Sn5: optimized geometry, GGA-PBE.

extended XYZ file:
```
80
Lattice="-9.081 9.081 9.081 9.081 -9.081 9.081 9.081 9.081 -9.081" Properties=species:S:1:pos:R:3 pbc="T T T"
Pr 4.540 2.270 0.000
Pr 9.081 4.540 -2.270
Pr 2.270 0.000 4.540
Pr 11.351 0.000 4.540
Pr 0.000 4.540 2.270
Pr 4.540 -2.270 9.081
Pr 4.540 11.351 0.000
Pr 9.081 4.540 6.811
Pr -2.270 9.081 4.540
Pr 6.811 9.081 4.540
Pr 0.000 4.540 11.351
Pr 4.540 6.811 9.081
Tm 2.645 -0.459 1.341
Tm 10.976 5.882 -4.999
Tm 8.622 -1.341 2.645
Tm 14.080 -1.895 3.199
Tm 11.726 0.459 1.341
Tm 10.976 -3.199 4.999
Tm 1.341 2.645 -0.459
Tm 12.280 4.082 -1.895
Tm 5.882 4.999 -1.895
Tm 7.740 2.645 0.459
Tm -0.459 1.341 2.645
Tm 4.999 -1.895 5.882
Tm 8.622 7.740 -2.645
Tm 4.999 1.895 3.199
Tm 7.740 -2.645 8.622
Tm 5.882 -4.999 10.976
Tm 3.199 4.999 1.895
Tm 10.422 6.436 0.459
Tm 2.645 8.622 -1.341
Tm 10.976 3.199 4.082
Tm 4.999 10.976 -3.199
Tm 8.622 1.341 6.436
Tm 1.895 3.199 4.999
Tm 2.645 0.459 7.740
Tm 6.436 8.622 1.341
Tm 7.186 5.882 4.082
Tm 0.459 7.740 2.645
Tm 4.082 -1.895 12.280
Tm -1.895 5.882 4.999
Tm 6.436 0.459 10.422
Tm -1.341 2.645 8.622
Tm 5.882 4.082 7.186
Tm 3.199 14.080 -1.895
Tm 1.341 11.726 0.459
Tm 4.082 7.186 5.882
Tm 0.459 1.341 11.726
Tm 4.082 10.976 3.199
Tm 9.540 7.740 6.436
Tm 1.341 6.436 8.622
Tm 3.199 4.082 10.976
Tm -3.199 4.999 10.976
Tm 7.740 6.436 9.540
Tm -1.895 12.280 4.082
Tm -2.645 8.622 7.740
Tm -4.999 10.976 5.882
Tm 0.459 10.422 6.436
Tm -1.895 3.199 14.080
Tm 6.436 9.540 7.740
Sn 0.000 0.000 0.000
Sn 4.540 4.540 -4.540
Sn 4.540 -4.540 4.540
Sn 9.081 0.000 0.000
Sn 13.621 2.270 0.000
Sn 9.081 -4.540 6.811
Sn 6.811 9.081 -4.540
Sn 6.811 0.000 4.540
Sn 4.540 6.811 0.000
Sn 9.081 4.540 2.270
Sn -4.540 4.540 4.540
Sn 0.000 9.081 0.000
Sn 0.000 0.000 9.081
Sn 4.540 4.540 4.540
Sn 0.000 4.540 6.811
Sn 4.540 2.270 9.081
Sn 2.270 9.081 4.540
Sn 2.270 0.000 13.621
Sn 0.000 13.621 2.270
Sn -4.540 6.811 9.081
```

## Properties
* space group: No. 230

=====

PrTmSn2: optimized geometry, GGA-PBE.

extended XYZ file:
```
4
Lattice="0.000 3.835 3.835 3.835 0.000 3.835 3.835 3.835 0.000" Properties=species:S:1:pos:R:3 pbc="T T T"
Pr 0.000 0.000 0.000
Tm 3.835 3.835 3.835
Sn 1.918 1.918 1.918
Sn 5.753 5.753 5.753
```

## Properties
* space group: No. 225
* distance to the lowest polymorph of the same formula: 16.2 kJ/mol of atoms

=====

Pr5Tm4Sn4: optimized geometry, GGA-PBE.

extended XYZ file:
```
13
Lattice="-6.583 6.583 2.325 6.583 -6.583 2.325 6.583 6.583 -2.325" Properties=species:S:1:pos:R:3 pbc="T T T"
Pr 0.000 0.000 0.000
Pr 5.014 3.893 0.000
Pr 2.690 -1.569 2.325
Pr 3.893 8.152 0.000
Pr 1.569 2.690 2.325
Tm 7.788 1.266 0.000
Tm 1.266 5.377 0.000
Tm 5.317 1.205 2.325
Tm -1.205 5.317 2.325
Sn 3.153 1.009 0.000
Sn 5.574 -3.429 2.325
Sn 1.009 10.012 0.000
Sn 3.429 5.574 2.325
```

## Properties
* space group: No. 87

=====

Pr5TmSn3: optimized geometry, GGA-PBE.

extended XYZ file:
```
18
Lattice="9.677 0.000 0.000 -4.839 8.381 0.000 0.000 0.000 6.775" Properties=species:S:1:pos:R:3 pbc="T T T"
Pr -1.585 2.745 1.694
Pr -3.254 5.636 5.081
Pr 3.170 0.000 1.694
Pr 1.585 2.745 5.081
Pr 0.000 5.587 0.000
Pr 0.000 5.587 3.388
Pr 4.839 2.794 0.000
Pr 4.839 2.794 3.388
Pr 6.507 0.000 5.081
Pr 3.254 5.636 1.694
Tm 0.000 0.000 0.000
Tm 0.000 0.000 3.388
Sn -1.625 2.814 5.081
Sn -3.214 5.567 1.694
Sn 3.249 0.000 5.081
Sn 1.625 2.814 1.694
Sn 6.428 0.000 1.694
Sn 3.214 5.567 5.081
```

## Properties
* space group: No. 193

=====

Number 1: calculated volume 29.2 A^3/atom, energy of formation -53.80 kJ per mole of atoms, uncorrected energy -29.854 eV for the cell shown. Number 2: calculated volume 29.5 A^3/atom, energy of formation -53.54 kJ per mole of atoms, uncorrected energy -39.729 eV for the cell shown. Number 3: calculated volume 37.4 A^3/atom, energy of formation 35.56 kJ per mole of atoms, uncorrected energy -322.561 eV for the cell shown. Number 4: calculated volume 28.2 A^3/atom, energy of formation -51.80 kJ per mole of atoms, uncorrected energy -19.404 eV for the cell shown. Number 5: calculated volume 31.0 A^3/atom, energy of formation -51.21 kJ per mole of atoms, uncorrected energy -64.694 eV for the cell shown. Number 6: calculated volume 30.5 A^3/atom, energy of formation -52.66 kJ per mole of atoms, uncorrected energy -90.578 eV for the cell shown.